Here is TmPaSe2 after structural relaxation from the Alexandria database. Energies are from PBE.

Cell and atoms, written as POSCAR:
```
TmPaSe2
1.0
-2.380 2.273 2.196
2.553 -2.463 1.752
14.315 14.901 0.093
Se Pa Tm
6 3 3
Cartesian
0.478 1.958 2.056
14.009 12.752 1.986
6.903 5.355 1.939
3.685 3.835 0.024
10.630 11.065 0.069
7.584 9.355 2.102
3.338 1.645 1.916
11.149 13.066 2.126
0.000 0.000 0.000
7.157 7.450 0.047
10.419 9.015 1.962
4.068 5.695 2.079
```

ρ: 9921 kg/m3
energy: -6.6678 eV per atom
space group: P-3m1
formation energy (no corrections): -1.434 eV/atom
offset from the most stable computed form: 0.0 kJ/mol of atoms